No. 1
Cs2NaH6Rh | GGA-PBE | optimized geometry

Fermi-level density of states: 0.0 states/eV/cell
Energy: -3.389 eV/atom

a = 6.3093 Å, b = 6.3093 Å, c = 5.5733 Å
α = 90.00°, β = 90.00°, γ = 120.00°
Atoms (fractional coordinates):
Cs  0.3333  0.6667  0.2113
Cs  0.6667  0.3333  0.7887
Na  0.0000  0.0000  0.5000
H  0.1279  0.2559  0.8294
H  0.1279  0.8721  0.8294
H  0.2559  0.1279  0.1706
H  0.7441  0.8721  0.8294
H  0.8721  0.1279  0.1706
H  0.8721  0.7441  0.1706
Rh  0.0000  0.0000  0.0000


No. 2
Cs2Na2H4Rh | GGA-PBE | optimized geometry

Fermi-level density of states: 2.2 states/eV/cell
Energy: -2.841 eV/atom

a = 6.4710 Å, b = 6.4710 Å, c = 6.4710 Å
α = 114.18°, β = 114.18°, γ = 100.41°
Atoms (fractional coordinates):
Cs  0.2500  0.7500  0.5000
Cs  0.7500  0.2500  0.5000
Na  0.1824  0.1824  0.0000
Na  0.8176  0.8176  0.0000
H  0.3278  0.3278  0.6555
H  0.3278  0.6722  0.0000
H  0.6722  0.3278  0.0000
H  0.6722  0.6722  0.3445
Rh  0.5000  0.5000  0.0000


No. 3
Cs2NaSbH | GGA-PBE | optimized geometry

Fermi-level density of states: 3.5 states/eV/cell
Energy: -2.266 eV/atom

a = 6.5345 Å, b = 6.5345 Å, c = 4.4030 Å
α = 90.00°, β = 90.00°, γ = 90.00°
Atoms (fractional coordinates):
Cs  0.0000  0.5000  0.0000
Cs  0.5000  0.0000  0.0000
Na  0.0000  0.0000  0.5000
Sb  0.5000  0.5000  0.5000
H  0.0000  0.0000  0.0000


No. 4
CsNaHSe2 | GGA-PBE | optimized geometry

Fermi-level density of states: 2.7 states/eV/cell
Energy: -2.640 eV/atom

a = 4.9894 Å, b = 4.9894 Å, c = 4.9099 Å
α = 90.00°, β = 90.00°, γ = 90.00°
Atoms (fractional coordinates):
Cs  0.0000  0.0000  0.0000
Na  0.5000  0.5000  0.0000
H  0.5000  0.5000  0.5000
Se  0.0000  0.5000  0.5000
Se  0.5000  0.0000  0.5000


No. 5
Cs2NaSnH6 | GGA-PBE | optimized geometry

Fermi-level density of states: 1.4 states/eV/cell
Energy: -2.731 eV/atom

a = 6.3898 Å, b = 6.3898 Å, c = 6.0186 Å
α = 90.00°, β = 90.00°, γ = 120.00°
Atoms (fractional coordinates):
Cs  0.3333  0.6667  0.2090
Cs  0.6667  0.3333  0.7910
Na  0.0000  0.0000  0.5000
Sn  0.0000  0.0000  0.0000
H  0.1409  0.2818  0.7967
H  0.1409  0.8591  0.7967
H  0.2818  0.1409  0.2033
H  0.7182  0.8591  0.7967
H  0.8591  0.1409  0.2033
H  0.8591  0.7182  0.2033


No. 6
Cs2NaSn2H6 | GGA-PBE | optimized geometry

Fermi-level density of states: 1.3 states/eV/cell
Energy: -2.824 eV/atom

a = 7.1315 Å, b = 7.1315 Å, c = 6.1942 Å
α = 109.02°, β = 109.02°, γ = 59.58°
Atoms (fractional coordinates):
Cs  0.1805  0.1805  0.1127
Cs  0.8195  0.8195  0.8873
Na  0.0000  0.0000  0.5000
Sn  0.4833  0.4833  0.7386
Sn  0.5167  0.5167  0.2614
H  0.1759  0.7621  0.7267
H  0.2379  0.8241  0.2733
H  0.3261  0.3261  0.6353
H  0.6739  0.6739  0.3647
H  0.7621  0.1759  0.7267
H  0.8241  0.2379  0.2733


No. 7
CsNaSr2H | GGA-PBE | optimized geometry

Fermi-level density of states: 2.9 states/eV/cell
Energy: -1.767 eV/atom

a = 5.6416 Å, b = 5.6416 Å, c = 6.6812 Å
α = 90.00°, β = 90.00°, γ = 90.00°
Atoms (fractional coordinates):
Cs  0.0000  0.0000  0.0000
Na  0.5000  0.5000  0.0000
Sr  0.0000  0.5000  0.5000
Sr  0.5000  0.0000  0.5000
H  0.0000  0.0000  0.5000


No. 8
CsNaTaH2 | GGA-PBE | optimized geometry

Fermi-level density of states: 4.3 states/eV/cell
Energy: -2.926 eV/atom

a = 4.1328 Å, b = 4.1328 Å, c = 6.0472 Å
α = 90.00°, β = 90.00°, γ = 90.00°
Atoms (fractional coordinates):
Cs  0.0000  0.0000  0.0000
Na  0.5000  0.5000  0.0000
Ta  0.0000  0.0000  0.5000
H  0.0000  0.5000  0.5000
H  0.5000  0.0000  0.5000


No. 9
Cs2NaTcH6 | GGA-PBE | optimized geometry

Fermi-level density of states: 1.6 states/eV/cell
Energy: -3.436 eV/atom

a = 6.3647 Å, b = 6.3647 Å, c = 5.7604 Å
α = 90.00°, β = 90.00°, γ = 120.00°
Atoms (fractional coordinates):
Cs  0.3333  0.6667  0.2883
Cs  0.6667  0.3333  0.7117
Na  0.0000  0.0000  0.0000
Tc  0.0000  0.0000  0.5000
H  0.1329  0.2658  0.6821
H  0.1329  0.8671  0.6821
H  0.2658  0.1329  0.3179
H  0.7342  0.8671  0.6821
H  0.8671  0.1329  0.3179
H  0.8671  0.7342  0.3179


No. 10
CsNa2TeH | GGA-PBE | optimized geometry

Energy: -2.480 eV/atom

a = 5.2332 Å, b = 5.2332 Å, c = 5.5979 Å
α = 90.00°, β = 90.00°, γ = 90.00°
Atoms (fractional coordinates):
Cs  0.0000  0.0000  0.0000
Na  0.0000  0.5000  0.5000
Na  0.5000  0.0000  0.5000
Te  0.5000  0.5000  0.0000
H  0.0000  0.0000  0.5000


No. 11
Cs2NaTiH6 | GGA-PBE | optimized geometry

Fermi-level density of states: 6.4 states/eV/cell
Energy: -3.248 eV/atom

a = 6.2421 Å, b = 6.2421 Å, c = 6.2421 Å
α = 120.05°, β = 119.96°, γ = 89.99°
Atoms (fractional coordinates):
Cs  0.2505  0.2505  0.0000
Cs  0.7495  0.7495  0.0000
Na  0.5000  0.0000  0.5000
Ti  0.0000  0.5000  0.5000
H  0.2159  0.2817  0.4976
H  0.2159  0.7183  0.9342
H  0.2172  0.7172  0.5000
H  0.7828  0.2828  0.5000
H  0.7841  0.2817  0.0658
H  0.7841  0.7183  0.5024


No. 12
CsNaTiH2 | GGA-PBE | optimized geometry

Fermi-level density of states: 4.7 states/eV/cell
Energy: -2.530 eV/atom

a = 4.4061 Å, b = 4.4061 Å, c = 6.0370 Å
α = 90.00°, β = 90.00°, γ = 90.00°
Atoms (fractional coordinates):
Cs  0.0000  0.0000  0.0000
Na  0.5000  0.5000  0.0000
Ti  0.0000  0.0000  0.5000
H  0.0000  0.5000  0.5000
H  0.5000  0.0000  0.5000